Density functional theory data (PBE-GGA) for Ba8Pt3I4O after structural relaxation.

E_form (uncorrected) (eV/f.u.): -20.8
Space group: C2/m

Unit cell a=9.0893 b=10.0821 c=9.1101 alpha=116.91 beta=119.92 gamma=90.00
Closest atoms and distances in Å follow each position.
Element x y z (fractional)
Pt1 0.0000 0.5000 0.5000  6 Ba 3.15-3.17
Pt2 0.5000 0.5000 0.5000  6 Ba 3.15-3.17
Pt3 0.5000 0.5000 0.0000  6 Ba 3.16-3.17
Ba1 0.7517 0.6868 0.9694  1 O 2.93, 2 Pt 3.16-3.17
Ba2 0.7350 0.7054 0.4701  3 Pt 3.16-3.17
Ba3 0.2483 0.3132 0.0306  1 O 2.93, 2 Pt 3.16-3.17
Ba4 0.7823 0.3132 0.0306  1 O 2.93, 2 Pt 3.16-3.17
Ba5 0.7768 0.3091 0.5535  1 O 3.01, 2 Pt 3.15
Ba6 0.2650 0.2946 0.5299  3 Pt 3.16-3.17
Ba7 0.2232 0.6909 0.4465  1 O 3.01, 2 Pt 3.15
Ba8 0.2177 0.6868 0.9694  1 O 2.93, 2 Pt 3.16-3.17
I1 0.0000 0.0000 0.5000  6 Ba 3.65-3.71
I2 0.5000 0.0000 0.5000  6 Ba 3.65-3.71
I3 0.0000 0.0000 0.0000  6 Ba 3.65-3.70
I4 0.5000 0.0000 0.0000  6 Ba 3.82-3.89
O1 0.0000 0.5000 0.0000  6 Ba 2.93-3.01

Density functional theory data (PBE-GGA) for Ni3H5Pd12 after structural relaxation.

Space group: Ia-3d

Unit cell a=10.8932 b=10.8932 c=10.8932 alpha=109.47 beta=109.47 gamma=109.47
Closest atoms and distances in Å follow each position.
Element x y z (fractional)
Pd1 0.0942 0.1858 0.4858  2 H 1.82-2.03
Pd2 0.6858 0.4858 0.5942  2 H 1.82-2.03
Pd3 0.5942 0.6084 0.4084  2 H 1.82-2.03
Pd4 0.0142 0.6084 0.7000  2 H 1.82-2.03
Pd5 0.5942 0.9858 0.6858  2 H 1.82-2.03
Pd6 0.9058 0.0916 0.8916  2 H 1.82-2.03
Pd7 0.6858 0.2000 0.5916  2 H 1.82-2.03
Pd8 0.0142 0.4058 0.8142  2 H 1.82-2.03
Pd9 0.3142 0.5142 0.4058  2 H 1.82-2.03
Pd10 0.8142 0.9058 0.0142  2 H 1.82-2.03
Pd11 0.8142 0.9084 0.3000  2 H 1.82-2.03
Pd12 0.4858 0.6858 0.0942  2 H 1.82-2.03
Pd13 0.1084 0.4084 0.0942  2 H 1.82-2.03
Pd14 0.3000 0.8916 0.9858  2 H 1.82-2.03
Pd15 0.2000 0.6858 0.0916  2 H 1.82-2.03
Pd16 0.3000 0.4084 0.8142  2 H 1.82-2.03
Pd17 0.8000 0.4858 0.3916  2 H 1.82-2.03
Pd18 0.3916 0.9858 0.8000  2 H 1.82-2.03
Pd19 0.3916 0.4058 0.0916  2 H 1.82-2.03
Pd20 0.5142 0.3142 0.9058  2 H 1.82-2.03
Pd21 0.6084 0.0142 0.2000  2 H 1.82-2.03
Pd22 0.4058 0.3916 0.5916  2 H 1.82-2.03
Pd23 0.2000 0.5142 0.6084  2 H 1.82-2.03
Pd24 0.5916 0.8916 0.4058  2 H 1.82-2.03
Pd25 0.8000 0.3142 0.9084  2 H 1.82-2.03
Pd26 0.1858 0.0942 0.9858  2 H 1.82-2.03
Pd27 0.0916 0.1858 0.2000  2 H 1.82-2.03
Pd28 0.3142 0.8000 0.4084  2 H 1.82-2.03
Pd29 0.9858 0.3916 0.3000  2 H 1.82-2.03
Pd30 0.0942 0.9084 0.1084  2 H 1.82-2.03
Pd31 0.0916 0.9058 0.3916  2 H 1.82-2.03
Pd32 0.1858 0.0916 0.7000  2 H 1.82-2.03
Pd33 0.5142 0.2000 0.1084  2 H 1.82-2.03
Pd34 0.4084 0.1084 0.5942  2 H 1.82-2.03
Pd35 0.9058 0.8142 0.5142  2 H 1.82-2.03
Pd36 0.8916 0.5916 0.9058  2 H 1.82-2.03
Pd37 0.9084 0.0942 0.6084  2 H 1.82-2.03
Pd38 0.5916 0.7000 0.6858  2 H 1.82-2.03
Pd39 0.4058 0.0142 0.3142  2 H 1.82-2.03
Pd40 0.9858 0.5942 0.1858  2 H 1.82-2.03
Pd41 0.4084 0.3000 0.3142  2 H 1.82-2.03
Pd42 0.7000 0.1084 0.0142  2 H 1.82-2.03
Pd43 0.1084 0.7000 0.5142  2 H 1.82-2.03
Pd44 0.4858 0.8000 0.8916  2 H 1.82-2.03
Pd45 0.6084 0.5942 0.9084  2 H 1.82-2.03
Pd46 0.7000 0.5916 0.1858  2 H 1.82-2.03
Pd47 0.8916 0.3000 0.4858  2 H 1.82-2.03
Pd48 0.9084 0.8142 0.8000  2 H 1.82-2.03
H1 0.5000 0.0000 0.5000  6 Pd 2.03
H2 0.8750 0.6250 0.7500  4 Pd 1.82
H3 0.2500 0.8750 0.1250  4 Pd 1.82
H4 0.0000 0.0000 0.5000  6 Pd 2.03
H5 0.3750 0.2500 0.1250  4 Pd 1.82
H6 0.3750 0.1250 0.7500  4 Pd 1.82
H7 0.1250 0.7500 0.3750  4 Pd 1.82
H8 0.5000 0.0000 0.0000  6 Pd 2.03
H9 0.5000 0.5000 0.0000  6 Pd 2.03
H10 0.7500 0.1250 0.8750  4 Pd 1.82
H11 0.5000 0.5000 0.5000  6 Pd 2.03
H12 0.1250 0.3750 0.2500  4 Pd 1.82
H13 0.2500 0.3750 0.6250  4 Pd 1.82
H14 0.6250 0.8750 0.2500  4 Pd 1.82
H15 0.7500 0.6250 0.3750  4 Pd 1.82
H16 0.8750 0.2500 0.6250  4 Pd 1.82
H17 0.0000 0.0000 0.0000  6 Pd 2.03
H18 0.0000 0.5000 0.0000  6 Pd 2.03
H19 0.0000 0.5000 0.5000  6 Pd 2.03
H20 0.6250 0.7500 0.8750  4 Pd 1.82
Ni1 0.1250 0.2500 0.8750  8 Pd 2.52-2.54
Ni2 0.8750 0.1250 0.2500  8 Pd 2.52-2.54
Ni3 0.8750 0.7500 0.1250  8 Pd 2.52-2.54
Ni4 0.2500 0.1250 0.3750  8 Pd 2.52-2.54
Ni5 0.2500 0.6250 0.8750  8 Pd 2.52-2.54
Ni6 0.6250 0.3750 0.7500  8 Pd 2.52-2.54
Ni7 0.3750 0.7500 0.6250  8 Pd 2.52-2.54
Ni8 0.6250 0.2500 0.3750  8 Pd 2.52-2.54
Ni9 0.3750 0.6250 0.2500  8 Pd 2.52-2.54
Ni10 0.7500 0.8750 0.6250  8 Pd 2.52-2.54
Ni11 0.1250 0.8750 0.7500  8 Pd 2.52-2.54
Ni12 0.7500 0.3750 0.1250  8 Pd 2.52-2.54

Computed values of density of states at the Fermi level (unit: states/eV per cell) for the preceding records, in sequence: 11.039 69.671.
Computed values of E_tot (unit: eV per atom) for the preceding records, in sequence: -4.093 -4.730.
Computed values of size of the total moment (unit: μB per atom) for the preceding records, in sequence: 0.000 0.249.